Density functional theory data (GGA-PBE) for a relaxed structure of SnIO2F.

volume = 76.8 Å³ per cell
VASP energy = -21.08 eV per cell
total magnetic moment = 1.48 Bohr magnetons per cell
ΔE_f (raw) = -0.75 eV per atom

Cell: 4.2026 4.2026 4.3461 Å, 90.00 90.00 90.00°
Site moments in Bohr magnetons follow the coordinates.
Fractional positions:
Sn  0.0000  0.0000  0.0000  -0.01
I  0.5000  0.5000  0.5000  0.66
O  0.5000  0.0000  0.0000  0.23
F  0.0000  0.0000  0.5000  0.04
O  0.0000  0.5000  0.0000  0.23

=====

Density functional theory data (GGA-PBE) for a relaxed structure of ScAsIr.

volume = 52.1 Å³ per cell
ΔE_f = -522 meV/atom
VASP energy = -21.41 eV per cell
total magnetic moment = 0.00 Bohr magnetons per cell

Cell: 4.8059 4.8059 4.8059 Å, 141.35 130.46 64.54°
Fractional positions:
As  0.0044  0.0044  0.0000
Sc  0.6765  0.6765  0.0000
Ir  0.3191  0.3191  0.0000

=====

Density functional theory data (GGA-PBE) for a relaxed structure of LiCaCoSi.

volume = 164.9 Å³ per cell
VASP energy = -35.51 eV per cell
total magnetic moment = 0.00 Bohr magnetons per cell
ΔE_f (raw) = -0.33 eV per atom

Cell: 3.8815 3.8815 10.9433 Å, 90.00 90.00 90.00°
Fractional positions:
Ca  0.7500  0.7500  0.2262
Ca  0.2500  0.2500  0.7738
Co  0.7500  0.2500  0.0000
Li  0.7500  0.2500  0.5000
Si  0.7500  0.7500  0.8931
Li  0.2500  0.7500  0.5000
Co  0.2500  0.7500  0.0000
Si  0.2500  0.2500  0.1069

=====

Density functional theory data (GGA-PBE) for a relaxed structure of Tl3Te.

volume = 146.0 Å³ per cell
VASP energy = -10.67 eV per cell
energy above the most stable polymorph in this dataset = 0.39 eV per formula unit
total magnetic moment = 0.00 Bohr magnetons per cell
ΔE_f (raw) = -0.11 eV per atom

Cell: 4.4245 4.4245 8.6104 Å, 90.00 90.00 120.00°
Fractional positions:
Tl  0.6667  0.3333  0.7742
Tl  0.0000  0.0000  0.5000
Te  0.0000  0.0000  0.0000
Tl  0.6667  0.3333  0.2258

=====

Density functional theory data (GGA-PBE) for a relaxed structure of TaCoTeH2.

volume = 72.8 Å³ per cell
VASP energy = -26.27 eV per cell
total magnetic moment = 0.87 Bohr magnetons per cell

Cell: 3.6580 5.4402 3.6580 Å, 90.00 90.00 90.00°
Site moments in Bohr magnetons follow the coordinates.
Fractional positions:
Te  0.0000  0.5000  0.0000  0.01
Ta  0.0000  0.0000  0.0000  -0.16
H  0.5000  0.0000  0.0000  0.00
Co  0.5000  0.5000  0.5000  1.10
H  0.0000  0.0000  0.5000  0.00

=====

Density functional theory data (GGA-PBE) for a relaxed structure of Ti5GaFe4.

volume = 134.9 Å³ per cell
ΔE_f = -393 meV/atom
VASP energy = -80.28 eV per cell
total magnetic moment = 0.50 Bohr magnetons per cell

Cell: 2.9736 2.9736 15.2516 Å, 90.00 90.00 90.00°
Site moments in Bohr magnetons follow the coordinates.
Fractional positions:
Ti  0.5000  0.5000  0.3073  -0.14
Fe  0.0000  0.0000  0.2098  0.49
Fe  0.0000  0.0000  0.4037  0.10
Ti  0.5000  0.5000  0.8838  -0.11
Ti  0.5000  0.5000  0.6927  -0.14
Ti  0.5000  0.5000  0.1162  -0.11
Ga  0.0000  0.0000  0.0000  0.01
Fe  0.0000  0.0000  0.5963  0.10
Ti  0.5000  0.5000  0.5000  -0.06
Fe  0.0000  0.0000  0.7902  0.49

=====

Density functional theory data (GGA-PBE) for a relaxed structure of Ca2AsCl.

volume = 99.6 Å³ per cell
VASP energy = -12.91 eV per cell
total magnetic moment = 0.00 Bohr magnetons per cell
ΔE_f (raw) = -0.60 eV per atom

Cell: 5.2027 5.2027 5.2027 Å, 60.00 60.00 60.00°
Fractional positions:
As  0.5000  0.5000  0.5000
Ca  0.0000  0.0000  0.0000
Ca  0.2500  0.2500  0.2500
Cl  0.7500  0.7500  0.7500

=====

Density functional theory data (GGA-PBE) for a relaxed structure of LaPrPbAu.

volume = 117.7 Å³ per cell
ΔE_f = -635 meV/atom
VASP energy = -19.23 eV per cell
total magnetic moment = 0.96 Bohr magnetons per cell

Cell: 5.5015 5.5015 5.5015 Å, 60.00 60.00 60.00°
Site moments in Bohr magnetons follow the coordinates.
Fractional positions:
Pb  0.5000  0.5000  0.5000  -0.02
La  0.2500  0.2500  0.2500  0.20
Au  0.0000  0.0000  0.0000  0.04
Pr  0.7500  0.7500  0.7500  0.24

=====

no.,calculated density (g/cm3)
1,6.4
2,10.0
3,2.7
4,8.4
5,8.4
6,6.6
7,3.2
8,9.6